# 1
DFT (GGA-PBE) results for a relaxed structure of BeAg2Br.

POSCAR file:
```
BeAg2Br
1.0
3.386 0.000 0.000
0.000 3.386 0.000
0.000 0.000 6.621
Be Ag Br
1 2 1
Direct
0.000 0.000 0.000
0.000 0.000 0.638
0.500 0.500 0.909
0.500 0.500 0.363
```

Results
Total magnetization (μB per cell): 0.0
Calculated total energy (eV/cell): -10.0
Energy relative to the elements, uncorrected (kcal/mol of atoms): 6.105



# 2
DFT (GGA-PBE) results for a relaxed structure of BeAg2Br.

POSCAR file:
```
BeAg2Br
1.0
3.854 0.000 0.000
-1.927 3.337 0.000
0.000 0.000 18.286
Be Ag Br
3 6 3
Direct
0.000 0.000 0.000
0.333 0.667 0.667
0.667 0.333 0.333
0.000 0.000 0.280
0.000 0.000 0.720
0.333 0.667 0.387
0.333 0.667 0.946
0.667 0.333 0.054
0.667 0.333 0.613
0.000 0.000 0.500
0.333 0.667 0.167
0.667 0.333 0.833
```

Results
Total magnetization (μB per cell): 0.0
Calculated total energy (eV/cell): -31.1
Energy relative to the elements, uncorrected (kcal/mol of atoms): 4.244



# 3
DFT (GGA-PBE) results for a relaxed structure of Be4AgBr.

POSCAR file:
```
Be4AgBr
1.0
0.000 3.377 3.377
3.377 0.000 3.377
3.377 3.377 0.000
Be Ag Br
4 1 1
Direct
0.377 0.377 0.377
0.377 0.377 0.868
0.377 0.868 0.377
0.868 0.377 0.377
0.750 0.750 0.750
0.000 0.000 0.000
```

Results
Total magnetization (μB per cell): 0.0
Calculated total energy (eV/cell): -15.4
Energy relative to the elements, uncorrected (kcal/mol of atoms): 15.541



# 4
DFT (GGA-PBE) results for a relaxed structure of BeAg2Br.

POSCAR file:
```
BeAg2Br
1.0
3.253 0.000 0.000
0.000 3.253 0.000
0.000 0.000 6.850
Be Ag Br
1 2 1
Direct
0.000 0.000 0.000
0.500 0.500 0.196
0.500 0.500 0.804
0.000 0.000 0.500
```

Results
Total magnetization (μB per cell): 0.0
Calculated total energy (eV/cell): -10.0
Energy relative to the elements, uncorrected (kcal/mol of atoms): 6.324



# 5
DFT (GGA-PBE) results for a relaxed structure of Be3AgBr.

POSCAR file:
```
Be3AgBr
1.0
4.539 0.000 0.000
0.000 4.539 0.000
0.000 0.000 4.539
Be Ag Br
3 1 1
Direct
0.000 0.000 0.500
0.000 0.500 0.000
0.500 0.000 0.000
0.000 0.000 0.000
0.500 0.500 0.500
```

Results
Total magnetization (μB per cell): 0.0
Calculated total energy (eV/cell): -11.2
Energy relative to the elements, uncorrected (kcal/mol of atoms): 20.774



# 6
DFT (GGA-PBE) results for a relaxed structure of BeAg2Br.

POSCAR file:
```
BeAg2Br
1.0
3.225 0.000 0.000
0.000 5.525 0.000
0.000 0.000 9.267
Be Ag Br
2 4 2
Direct
0.000 0.000 0.000
0.500 0.500 0.000
0.000 0.000 0.450
0.000 0.500 0.197
0.500 0.000 0.197
0.500 0.500 0.450
0.000 0.500 0.838
0.500 0.000 0.838
```

Results
Total magnetization (μB per cell): 0.0
Calculated total energy (eV/cell): -20.8
Energy relative to the elements, uncorrected (kcal/mol of atoms): 4.062



# 7
DFT (GGA-PBE) results for a relaxed structure of BeAg3Br.

POSCAR file:
```
BeAg3Br
1.0
5.226 0.000 0.000
0.000 5.226 0.000
0.000 0.000 5.226
Be Ag Br
1 3 1
Direct
0.000 0.000 0.000
0.000 0.500 0.500
0.500 0.000 0.500
0.500 0.500 0.000
0.500 0.500 0.500
```

Results
Total magnetization (μB per cell): 0.0
Calculated total energy (eV/cell): -8.4
Energy relative to the elements, uncorrected (kcal/mol of atoms): 25.775



# 8
DFT (GGA-PBE) results for a relaxed structure of BeAgBr.

POSCAR file:
```
BeAgBr
1.0
3.109 0.000 0.000
0.000 3.109 0.000
0.000 0.000 12.638
Be Ag Br
2 2 2
Direct
0.000 0.000 0.000
0.500 0.500 0.500
0.000 0.000 0.383
0.500 0.500 0.883
0.000 0.000 0.613
0.500 0.500 0.113
```

Results
Total magnetization (μB per cell): 0.0
Calculated total energy (eV/cell): -14.5
Energy relative to the elements, uncorrected (kcal/mol of atoms): 7.524